No. 1
The following is a PBE-GGA calculation of a geometry-optimized Nd3Dy7Tl2 structure, from Alexandria via LeMat-Bulk.

Computed properties:
Mass density (g/cm³): 8.6
V (Å³/cell): 383.3
Energy (eV per atom): -4.300
DOS at the Fermi energy (states/eV per cell): 14.03

Cell lengths 5.7131, 3.6332, 18.4942 Å; angles 90.00, 93.25, 90.00 degrees
Last column: nearest neighbours and their distance in Å.
Element x y z (fractional)
Nd: 0.0000 0.0000 0.0000  10 Dy 3.39-3.71, 2 Nd 3.63
Nd: 0.2745 0.5000 0.6351  2 Nd 3.63, 4 Tl 3.64-3.65, 8 Dy 3.73-4.07
Nd: 0.7255 0.5000 0.3649  2 Nd 3.63, 4 Tl 3.64-3.65, 8 Dy 3.73-4.07
Dy: 0.1730 0.5000 0.1500  2 Tl 3.18, 5 Dy 3.39-3.43, 2 Nd 3.42
Dy: 0.2417 0.0000 0.4590  1 Tl 3.09, 2 Dy 3.23-3.24
Dy: 0.3253 0.0000 0.8320  8 Dy 3.39-3.69, 2 Tl 3.60-3.71, 1 Nd 3.71
Dy: 0.5000 0.5000 0.0000  4 Nd 3.39, 8 Dy 3.43-3.69
Dy: 0.6747 0.0000 0.1680  8 Dy 3.39-3.69, 2 Tl 3.60-3.71, 1 Nd 3.71
Dy: 0.7583 0.0000 0.5410  1 Tl 3.09, 2 Dy 3.23-3.24
Dy: 0.8270 0.5000 0.8500  2 Tl 3.18, 5 Dy 3.39-3.43, 2 Nd 3.42
Tl: 0.2104 0.0000 0.2916  3 Dy 3.09-3.18
Tl: 0.7896 0.0000 0.7084  3 Dy 3.09-3.18

---

No. 2
The following is a PBE-GGA calculation of a geometry-optimized Rb5UO5 structure, from Alexandria via LeMat-Bulk.

Computed properties:
Mass density (g/cm³): 3.9
V (Å³/cell): 315.5
Formation energy (no corrections) (eV/atom): -2.0065
Energy (eV per atom): -5.726
DOS at the Fermi energy (states/eV per cell): 2.09

Cell lengths 7.7541, 7.7541, 9.8337 Å; angles 104.55, 104.55, 33.58 degrees
Last column: nearest neighbours and their distance in Å.
Element x y z (fractional)
Rb: 0.0000 0.0000 0.0000  2 O 2.85
Rb: 0.3473 0.3473 0.6326  6 O 2.90-3.09
Rb: 0.3624 0.3624 0.2397  5 O 2.82-3.03
Rb: 0.6376 0.6376 0.7603  5 O 2.82-3.03
Rb: 0.6527 0.6527 0.3674  6 O 2.90-3.09
U: 0.0000 0.0000 0.5000  6 O 2.05-2.24
O: 0.0050 0.0050 0.2913  1 U 2.07
O: 0.1430 0.1430 0.5651  1 U 2.05
O: 0.5000 0.5000 0.5000  2 U 2.24
O: 0.8570 0.8570 0.4349  1 U 2.05
O: 0.9950 0.9950 0.7087  1 U 2.07

---

No. 3
The following is a PBE-GGA calculation of a geometry-optimized HSeBr2 structure, from Alexandria via LeMat-Bulk.

Computed properties:
Mass density (g/cm³): 3.2
V (Å³/cell): 248.4
Energy (eV per atom): -2.609
Energy above the lowest structure with this stoichiometry (meV/atom): 92.5

Cell lengths 3.9836, 8.0037, 8.3537 Å; angles 105.21, 93.04, 103.20 degrees
Last column: nearest neighbours and their distance in Å.
Element x y z (fractional)
H: 0.0000 0.0000 0.0000  1 Br 1.48
H: 0.1819 0.5035 0.1151  1 Se 1.51
Se: 0.2021 0.5337 0.9450  1 H 1.51
Se: 0.5066 0.3084 0.8439  1 Se 2.40, 1 Br 2.56
Br: 0.0317 0.9792 0.1701  1 H 1.48
Br: 0.0667 0.3708 0.3597  1 Br 2.38, 1 H 2.56
Br: 0.0735 0.6660 0.5165  1 Br 2.38
Br: 0.9834 0.0377 0.7410  1 H 2.26

---

No. 4
The following is a PBE-GGA calculation of a geometry-optimized LiTlMo2 structure, from Alexandria via LeMat-Bulk.

Computed properties:
Mass density (g/cm³): 9.7
V (Å³/cell): 69.1
Energy (eV per atom): -6.040
Energy above the lowest structure with this stoichiometry (meV/atom): 161.6
DOS at the Fermi energy (states/eV per cell): 1.27

Cell lengths 5.1385, 5.1385, 5.1385 Å; angles 140.79, 124.94, 69.66 degrees
Last column: nearest neighbours and their distance in Å.
Element x y z (fractional)
Li: 0.0000 0.0000 0.0000  2 Tl 2.69, 6 Mo 2.77-2.95
Tl: 0.2443 0.7443 0.5000  2 Li 2.69, 8 Mo 2.93-2.98
Mo: 0.5304 0.5304 0.0000  2 Mo 2.49
Mo: 0.7436 0.2436 0.5000  2 Mo 2.49, 2 Li 2.77

---

No. 5
The following is a PBE-GGA calculation of a geometry-optimized NaHfBr2 structure, from Alexandria via LeMat-Bulk.

Computed properties:
Mass density (g/cm³): 5.7
V (Å³/cell): 106.0
Formation energy (no corrections) (eV/atom): -0.6480
Energy (eV per atom): -4.303
Energy above the lowest structure with this stoichiometry (meV/atom): 53.0
DOS at the Fermi energy (states/eV per cell): 2.80

Cell lengths 9.3375, 9.3375, 9.3375 Å; angles 22.66, 22.66, 22.66 degrees
Last column: nearest neighbours and their distance in Å.
Element x y z (fractional)
Na: 0.0000 0.0000 0.0000  6 Br 2.85
Hf: 0.5000 0.5000 0.5000  2 Br 2.63
Br: 0.4035 0.4035 0.4035  1 Hf 2.63, 3 Na 2.85
Br: 0.5965 0.5965 0.5965  1 Hf 2.63, 3 Na 2.85

---

No. 6
The following is a PBE-GGA calculation of a geometry-optimized Mg2CdAg3 structure, from Alexandria via LeMat-Bulk.

Computed properties:
Mass density (g/cm³): 7.2
V (Å³/cell): 112.4
Energy (eV per atom): -2.292
Energy above the lowest structure with this stoichiometry (meV/atom): 0.0
DOS at the Fermi energy (states/eV per cell): 2.22

Cell lengths 3.4184, 3.4184, 9.6211 Å; angles 90.00, 90.00, 90.00 degrees
Last column: nearest neighbours and their distance in Å.
Element x y z (fractional)
Mg: 0.0000 0.0000 0.1652  8 Ag 2.87-2.89, 1 Mg 3.18
Mg: 0.0000 0.0000 0.8348  8 Ag 2.87-2.89, 1 Mg 3.18
Cd: 0.0000 0.0000 0.5000  8 Ag 2.94, 2 Mg 3.22
Ag: 0.5000 0.5000 0.0000  8 Mg 2.89, 2 Ag 3.13
Ag: 0.5000 0.5000 0.3255  4 Mg 2.87, 4 Cd 2.94, 1 Ag 3.13
Ag: 0.5000 0.5000 0.6745  4 Mg 2.87, 4 Cd 2.94, 1 Ag 3.13